Entry 1:
Entry from the Alexandria database: a geometry-optimized CoMoBr2 structure (PBE).

Lattice parameters (Å, degrees): 3.2256 3.2255 6.3995 90.00 90.00 90.00
Sites, in units of the cell vectors:
Br 0.0000 0.0000 0.4976
Br 0.0000 0.0000 0.0024
Mo 0.5000 0.5000 0.7500
Co 0.5000 0.5000 0.2500

Output
Total energy: -4.45 eV/atom
Symmetry: P4/mmm (123)
Distance to the lowest polymorph of the same formula: 0.800 eV per atom
Crystal system: tetragonal
Formation energy from raw total energies: 84.1 kJ per mole of atoms



Entry 2:
Entry from the Alexandria database: a geometry-optimized CoMoBr structure (PBE).

Lattice parameters (Å, degrees): 4.1808 4.1808 4.1808 60.00 60.00 60.00
Sites, in units of the cell vectors:
Br 0.5000 0.5000 0.5000
Mo 0.0000 0.0000 0.0000
Co 0.7500 0.7500 0.7500

Output
Total energy: -5.35 eV/atom
Symmetry: F-43m (216)
Distance to the lowest polymorph of the same formula: 0.633 eV per atom
Crystal system: cubic
Formation energy from raw total energies: 114.9 kJ per mole of atoms